# 1
First-principles (PBE) data for a geometry-optimized Tb2Y3Th structure, as listed in Alexandria.

Summary:
Distance to the lowest polymorph of the same formula: 98 meV per atom
Space group: C2/m (12)
Formation enthalpy at 0 K: 129 meV/atom
DOS(E_F): 11.30 states/eV/f.u.
Crystal system: monoclinic
Raw total energy: -5.88 eV/atom

Cell and atoms, written as POSCAR:
```
Tb2Y3Th
1.0
5.7307 0.0000 1.1802
1.9975 4.4306 4.8039
-0.0457 -0.5554 14.7251
Tb Y Th
4 6 2
Cartesian
5.7198 1.2360 15.7365
1.9628 2.6392 4.9727
3.8341 0.2622 10.3894
3.8484 3.6130 10.3198
2.5956 3.8502 16.4033
5.0870 0.0250 4.3059
5.0992 2.8789 18.7499
2.5834 0.9963 1.9593
6.4069 2.8583 12.3999
1.2756 1.0169 8.3093
3.2137 1.8426 13.4020
4.4689 2.0326 7.3072
```



# 2
First-principles (PBE) data for a geometry-optimized Cd6In2Hg3 structure, as listed in Alexandria.

Summary:
Distance to the lowest polymorph of the same formula: 0 meV per atom
Space group: P2_1/c (14)
Formation enthalpy at 0 K: 17 meV/atom
DOS(E_F): 3.13 states/eV/f.u.
Crystal system: monoclinic
Raw total energy: -1.06 eV/atom

Cell and atoms, written as POSCAR:
```
Cd6In2Hg3
1.0
-2.8069 -0.9179 -4.2788
-3.6480 -4.8651 3.4357
-4.4816 17.7063 -0.8566
Cd In Hg
12 4 6
Cartesian
-6.3441 14.9064 -0.5825
-3.4201 2.9778 -0.0531
-4.8381 9.0504 -0.2857
-6.4616 14.1762 -3.4785
-3.5220 2.5017 -3.0436
-4.9811 8.3111 -3.2210
-5.9554 3.6122 1.5214
-4.4749 -2.2529 1.7789
-7.4145 9.4216 1.3440
-7.5164 8.9455 -1.6465
-6.0984 2.8729 -1.4139
-4.5923 -2.9831 -1.1171
-2.9050 -0.1144 -1.1903
-5.3363 5.1691 -3.8870
-5.6001 6.7543 2.1874
-8.0314 12.0377 -0.5094
-5.4682 5.9617 -0.8498
-5.1038 12.2266 0.6434
-5.8326 -0.3032 -2.3430
-6.0168 0.5058 0.7626
-4.9197 11.4175 -2.4622
0.0000 0.0000 0.0000
```